(i)
{"formula": "ZnSiPd6", "functional": "GGA-PBE", "state": "optimized geometry", "magnetic_moment_mub_per_fu": 0.000, "n_ef_per_ev_atom": 0.41, "lattice_angstrom": [[6.7743, 0.0177, 0.8482], [3.5073, 6.7641, 1.1289], [4.0297, 2.6223, 3.4814]], "species": ["Zn", "Si", "Pd", "Pd", "Pd", "Pd", "Pd", "Pd"], "frac_coords": [[0.5000, 0.5000, 0.5000], [0.0000, 0.0000, 0.0000], [0.9441, 0.3879, 0.8944], [0.7913, 0.0522, 0.7672], [0.4431, 0.2389, 0.1937], [0.2087, 0.9478, 0.2328], [0.0559, 0.6121, 0.1056], [0.5569, 0.7611, 0.8063]]}

---

(ii)
{"formula": "ZnSiPd6", "functional": "GGA-PBE", "state": "optimized geometry", "magnetic_moment_mub_per_fu": 0.000, "n_ef_per_ev_atom": 0.57, "lattice_angstrom": [[3.9190, -0.0009, 1.1835], [-0.3557, 3.9036, 1.1808], [-0.1373, -0.1571, 7.5744]], "species": ["Zn", "Si", "Pd", "Pd", "Pd", "Pd", "Pd", "Pd"], "frac_coords": [[0.5000, 0.5000, 0.0000], [0.0000, 0.0000, 0.0000], [0.7510, 0.7510, 0.4979], [0.6106, 0.1096, 0.7808], [0.1105, 0.6096, 0.7808], [0.3894, 0.8904, 0.2192], [0.2490, 0.2490, 0.5021], [0.8895, 0.3904, 0.2192]]}

---

Of them, the most stable is (ii) and the least stable is (i).